# 1
# BaTeAs2

A relaxed BaTeAs2 crystal (GGA-PBEsol, the Alexandria database).

Computed properties:
SG = Pm, No. 6

Structure (extended XYZ):
```
4
Lattice="4.109 0.000 0.000 0.000 5.175 0.009 0.000 -2.089 5.744" Properties=species:S:1:pos:R:3 pbc="T T T"
Ba 0.000 1.772 2.937
As 0.000 4.981 0.319
As 2.054 3.824 1.348
Te 2.054 -0.772 4.035
```

=====

# 2
# BaTeAs3

A relaxed BaTeAs3 crystal (GGA-PBEsol, the Alexandria database).

Computed properties:
SG = Pm-3m, No. 221

Structure (extended XYZ):
```
5
Lattice="-2.183 -3.274 3.984 -0.613 -4.130 -3.731 5.120 -1.891 1.252" Properties=species:S:1:pos:R:3 pbc="T T T"
As 2.560 -0.946 0.626
As -0.307 -2.065 -1.865
As -1.092 -1.637 1.992
Ba 0.000 0.000 0.000
Te 1.162 -4.648 0.752
```

=====

# 3
# BaTeAs2

A relaxed BaTeAs2 crystal (GGA-PBEsol, the Alexandria database).

Computed properties:
SG = Imm2, No. 44

Structure (extended XYZ):
```
4
Lattice="3.862 0.000 0.000 0.000 5.650 0.000 -1.931 -2.825 4.964" Properties=species:S:1:pos:R:3 pbc="T T T"
Ba 0.000 0.000 4.828
Te 0.000 2.825 2.806
As 0.000 0.000 0.305
As 1.931 0.000 1.988
```

=====

# 4
# BaTeAs2

A relaxed BaTeAs2 crystal (GGA-PBEsol, the Alexandria database).

Computed properties:
SG = C2/m, No. 12

Structure (extended XYZ):
```
4
Lattice="-3.052 -2.685 0.261 2.114 -1.955 4.606 -2.439 5.987 1.285" Properties=species:S:1:pos:R:3 pbc="T T T"
Te -0.469 -2.320 2.433
As -1.826 2.220 1.484
As -1.551 -0.873 4.668
Ba 0.000 0.000 0.000
```

=====

no.,DOS at the Fermi energy (states/eV/cell),uncorrected energy (eV per cell),size of the total moment (μB per formula unit)
1,0.09,-18.30,0.00
2,5.58,-14.42,0.00
3,2.30,-18.09,0.00
4,0.71,-18.17,0.00